AgP2Pb | Alexandria via LeMat-Bulk | SCAN | single point on PBEsol structure; crystal system = trigonal; Fermi-level density of states = 2.04 states/eV per cell; formation energy = 0.34 eV per atom; raw total energy = -31.6438 eV per atom; mass density = 7.9 Mg/m³
1.0
1.941 1.121 6.075
-1.941 1.121 6.075
0.000 -2.241 6.075
Ag P Pb
1 2 1
direct
0.000 0.000 0.000
0.265 0.265 0.265
0.735 0.735 0.735
0.500 0.500 0.500

---

AgP2Pb | Alexandria via LeMat-Bulk | SCAN | single point on PBEsol structure; crystal system = monoclinic; Fermi-level density of states = 1.22 states/eV per cell; formation energy = 0.06 eV per atom; raw total energy = -31.9279 eV per atom; mass density = 7.2 Mg/m³
1.0
5.645 -1.633 0.000
5.645 1.633 0.000
-1.931 0.000 4.707
Ag P Pb
1 2 1
direct
0.000 0.000 0.000
0.232 0.232 0.126
0.768 0.768 0.874
0.500 0.500 0.500

---

Ag2PPb | Alexandria via LeMat-Bulk | SCAN | single point on PBEsol structure; crystal system = orthorhombic; Fermi-level density of states = 1.59 states/eV per cell; formation energy = 0.31 eV per atom; raw total energy = -36.9222 eV per atom; mass density = 9.6 Mg/m³
1.0
3.128 0.000 0.000
0.000 3.799 0.000
0.000 0.000 6.578
Ag P Pb
2 1 1
direct
0.000 0.000 0.000
0.500 0.500 0.233
0.000 0.000 0.391
0.500 0.500 0.708

---

AgPPb3 | Alexandria via LeMat-Bulk | SCAN | single point on PBEsol structure; crystal system = cubic; Fermi-level density of states = 2.66 states/eV per cell; formation energy = 0.70 eV per atom; raw total energy = -53.1231 eV per atom; mass density = 8.4 Mg/m³
1.0
5.313 0.000 0.000
0.000 5.313 0.000
0.000 0.000 5.313
Ag P Pb
1 1 3
direct
0.000 0.000 0.000
0.500 0.500 0.500
0.000 0.000 0.500
0.000 0.500 0.000
0.500 0.000 0.000

---

AgP2Pb | Alexandria via LeMat-Bulk | SCAN | single point on PBEsol structure; crystal system = tetragonal; Fermi-level density of states = 1.85 states/eV per cell; formation energy = 0.69 eV per atom; raw total energy = -31.2978 eV per atom; mass density = 8.2 Mg/m³
1.0
-2.257 2.257 3.747
2.257 -2.257 3.747
2.257 2.257 -3.747
Ag P Pb
1 2 1
direct
0.000 0.000 0.000
0.500 0.500 0.000
0.750 0.250 0.500
0.250 0.750 0.500

---

AgP2Pb | Alexandria via LeMat-Bulk | SCAN | single point on PBEsol structure; crystal system = tetragonal; Fermi-level density of states = 2.02 states/eV per cell; formation energy = 0.67 eV per atom; raw total energy = -31.3184 eV per atom; mass density = 8.1 Mg/m³
1.0
-2.009 2.009 4.816
2.009 -2.009 4.816
2.009 2.009 -4.816
Ag P Pb
1 2 1
direct
0.000 0.000 0.000
0.250 0.750 0.500
0.750 0.250 0.500
0.500 0.500 0.000